A geometry-optimized Tl2HgIr structure, computed with PBE-GGA.

Lattice parameters (Å, degrees): 5.115 5.115 4.087 102.64 102.64 108.69
Element x y z (fractional)
Tl 0.000 0.500 0.000
Tl 0.500 0.000 0.000
Hg 0.000 0.000 0.500
Ir 0.500 0.500 0.500

polymorph energy (0 for the lowest one) = 319 meV per atom
energy relative to the elements = 566 meV per atom

=====

A geometry-optimized Mn5Al2B2 structure, computed with PBE-GGA.

Lattice parameters (Å, degrees): 7.070 7.070 5.430 90.00 90.00 45.32
Element x y z (fractional)
Mn 0.000 0.000 0.000
Mn 0.069 0.718 0.680
Mn 0.218 0.569 0.180
Mn 0.282 0.931 0.680
Mn 0.431 0.782 0.180
Mn 0.500 0.500 0.500
Mn 0.569 0.218 0.820
Mn 0.718 0.069 0.320
Mn 0.782 0.431 0.820
Mn 0.931 0.282 0.320
Al 0.230 0.230 0.000
Al 0.270 0.270 0.500
Al 0.730 0.730 0.500
Al 0.770 0.770 0.000
B 0.116 0.884 0.385
B 0.384 0.616 0.885
B 0.616 0.384 0.115
B 0.884 0.116 0.615

energy relative to the elements = -285 meV per atom

=====

A geometry-optimized Np3U2Se8 structure, computed with PBE-GGA.

Lattice parameters (Å, degrees): 8.406 8.406 6.981 106.29 106.29 58.58
Element x y z (fractional)
Np 0.000 0.000 0.000
Np 0.257 0.743 0.500
Np 0.743 0.257 0.500
U 0.257 0.257 0.838
U 0.743 0.743 0.162
Se 0.114 0.635 0.085
Se 0.120 0.120 0.427
Se 0.365 0.886 0.915
Se 0.388 0.388 0.610
Se 0.612 0.612 0.390
Se 0.635 0.114 0.085
Se 0.880 0.880 0.573
Se 0.886 0.365 0.915

polymorph energy (0 for the lowest one) = 35 meV per atom
formation energy without anion corrections = -12.92 eV per formula unit

=====

A geometry-optimized DyHoZnPt structure, computed with PBE-GGA.

Lattice parameters (Å, degrees): 4.971 4.971 4.971 60.00 60.00 60.00
Element x y z (fractional)
Dy 0.000 0.000 0.000
Ho 0.500 0.500 0.500
Zn 0.750 0.750 0.750
Pt 0.250 0.250 0.250

polymorph energy (0 for the lowest one) = 15 meV per atom
energy relative to the elements = -801 meV per atom

=====

A geometry-optimized KIn2SbI6 structure, computed with PBE-GGA.

Lattice parameters (Å, degrees): 8.593 8.598 9.005 61.52 61.50 60.03
Element x y z (fractional)
K 0.000 0.000 0.000
In 0.298 0.298 0.106
In 0.808 0.808 0.577
Sb 0.491 0.491 0.526
I 0.127 0.404 0.778
I 0.259 0.847 0.301
I 0.403 0.691 0.779
I 0.594 0.259 0.301
I 0.691 0.127 0.778
I 0.847 0.594 0.301

formation energy without anion corrections = -5.93 eV per formula unit

=====

A geometry-optimized Co2Ir5 structure, computed with PBE-GGA.

Lattice parameters (Å, degrees): 8.650 8.650 2.644 90.00 90.00 90.00
Element x y z (fractional)
Co 0.182 0.318 0.000
Co 0.318 0.818 0.000
Co 0.682 0.182 0.000
Co 0.818 0.682 0.000
Ir 0.000 0.500 0.500
Ir 0.058 0.798 0.500
Ir 0.202 0.058 0.500
Ir 0.298 0.558 0.500
Ir 0.442 0.298 0.500
Ir 0.500 0.000 0.500
Ir 0.558 0.702 0.500
Ir 0.702 0.442 0.500
Ir 0.798 0.942 0.500
Ir 0.942 0.202 0.500

energy relative to the elements = 308 meV per atom

=====

A geometry-optimized La2Pm3PrSm6 structure, computed with PBE-GGA.

Lattice parameters (Å, degrees): 6.356 6.356 12.118 95.04 95.04 120.04
Element x y z (fractional)
La 0.167 0.833 0.000
La 0.833 0.167 0.000
Pm 0.000 0.000 0.500
Pm 0.333 0.667 0.500
Pm 0.667 0.333 0.500
Pr 0.500 0.500 0.000
Sm 0.083 0.416 0.747
Sm 0.251 0.251 0.252
Sm 0.416 0.083 0.747
Sm 0.584 0.917 0.253
Sm 0.749 0.749 0.748
Sm 0.917 0.584 0.253

energy relative to the elements = 15 meV per atom

=====

A geometry-optimized Cd2Bi4O structure, computed with PBE-GGA.

Lattice parameters (Å, degrees): 9.756 9.756 9.756 151.75 151.75 40.38
Element x y z (fractional)
Cd 0.117 0.117 0.000
Cd 0.883 0.883 0.000
Bi 0.000 0.500 0.500
Bi 0.274 0.274 0.000
Bi 0.500 0.000 0.500
Bi 0.726 0.726 0.000
O 0.500 0.500 0.000

formation energy without anion corrections = -0.32 eV per formula unit

=====

Which VASP energy belongs to each record? In order, -2.9079 -7.6951 -7.8612 -4.9243 -2.5928 -8.0512 -4.7520 -3.2332 eV per atom.